! Sr3BiCl | Alexandria via LeMat-Bulk | PBE-GGA | relaxed; values from VASP
! * energy above the lowest structure with this stoichiometry: 0 meV/atom
! * space-group type: No. 221
! * uncorrected energy: -2.952 eV per atom
! * ΔE_f (raw): -797 meV/atom
! * total moment: 0.00 Bohr magnetons per cell
! * N(E_F): 6.1 states/eV/cell
&SYSTEM
  ibrav = 0, nat = 5, ntyp = 3
/
ATOMIC_SPECIES
Sr 87.62 Sr.upf
Bi 208.98 Bi.upf
Cl 35.45 Cl.upf
CELL_PARAMETERS angstrom
5.685 0.000 0.000
0.000 5.685 0.000
0.000 0.000 5.685
ATOMIC_POSITIONS crystal
Sr 0.000 0.000 0.500
Sr 0.000 0.500 0.000
Sr 0.500 0.000 0.000
Bi 0.500 0.500 0.500
Cl 0.000 0.000 0.000